Entry 1:
# Dy5SeS4 (PBE-GGA, optimized geometry)
# formation energy (no corrections)	-1943	meV per atom
# calculated total energy	-6.24	eV per atom
data_Dy5SeS4
_symmetry_space_group_name_H-M 'C 1 2/m 1'
_symmetry_Int_Tables_number 12
_symmetry_space_group_name_Hall '-C 2y'
_cell_length_a 13.101
_cell_length_b 3.934
_cell_length_c 9.650
_cell_angle_alpha 90.00
_cell_angle_beta 119.68
_cell_angle_gamma 90.00
loop_
_atom_site_label
_atom_site_fract_x
_atom_site_fract_y
_atom_site_fract_z
Dy1 0.000 0.000 0.000
Dy2 0.108 0.500 0.394
Dy3 0.206 0.000 0.809
Se1 0.000 0.000 0.500
S1 0.097 0.500 0.896
S2 0.203 0.000 0.297


Entry 2:
# Dy3Se3S (PBE-GGA, optimized geometry)
# formation energy (no corrections)	-1714	meV per atom
# distance to the lowest polymorph of the same formula	0.0	meV per atom
# calculated total energy	-5.77	eV per atom
data_Dy3Se3S
_symmetry_space_group_name_H-M 'R 3 m'
_symmetry_Int_Tables_number 160
_symmetry_space_group_name_Hall 'R 3 -2"'
_cell_length_a 8.7786
_cell_length_b 8.7786
_cell_length_c 7.4845
_cell_angle_alpha 90.00
_cell_angle_beta 90.00
_cell_angle_gamma 120.00
loop_
_atom_site_label
_atom_site_fract_x
_atom_site_fract_y
_atom_site_fract_z
Dy1 0.1709 0.3419 0.0000
Se1 0.2013 0.4026 0.3989
S1 0.0000 0.0000 0.1534


Entry 3:
# Dy2SeS (PBE-GGA, optimized geometry)
# formation energy (no corrections)	-1891	meV per atom
# distance to the lowest polymorph of the same formula	0.0	meV per atom
# calculated total energy	-6.09	eV per atom
data_Dy2SeS
_symmetry_space_group_name_H-M 'R 3 m'
_symmetry_Int_Tables_number 160
_symmetry_space_group_name_Hall 'R 3 -2"'
_cell_length_a 3.8995
_cell_length_b 3.8995
_cell_length_c 20.6523
_cell_angle_alpha 90.00
_cell_angle_beta 90.00
_cell_angle_gamma 120.00
loop_
_atom_site_label
_atom_site_fract_x
_atom_site_fract_y
_atom_site_fract_z
Dy1 0.0000 0.0000 0.0000
Dy2 0.0000 0.0000 0.1849
Se1 0.0000 0.0000 0.4248
S1 0.0000 0.0000 0.5944


Entry 4:
# Dy2SeS2 (PBE-GGA, optimized geometry)
# formation energy (no corrections)	-2026	meV per atom
# distance to the lowest polymorph of the same formula	0.0	meV per atom
# calculated total energy	-6.21	eV per atom
data_Dy2SeS2
_symmetry_space_group_name_H-M 'I m m m'
_symmetry_Int_Tables_number 71
_symmetry_space_group_name_Hall '-I 2 2'
_cell_length_a 4.043
_cell_length_b 5.386
_cell_length_c 12.801
_cell_angle_alpha 90.00
_cell_angle_beta 90.00
_cell_angle_gamma 90.00
loop_
_atom_site_label
_atom_site_fract_x
_atom_site_fract_y
_atom_site_fract_z
Dy1 0.000 0.000 0.160
Se1 0.000 0.500 0.500
S1 0.000 0.500 0.197


calculated total energy of number 3 (Dy2SeS)?
-6.09 eV per atom


calculated total energy of number 2 (Dy3Se3S)?
-5.77 eV per atom


Number 3 is which compound?
Dy2SeS


Among the records above, which one has the lowest calculated total energy?
Dy5SeS4